# 1
! Zn3Br PBE optimized geometry; values from VASP
! Total magnetic moment (μB/f.u.): 0.0
! Formation energy from raw total energies (eV/atom): 0.046
! Raw total energy (eV for the cell shown): -10.6
! Polymorph energy (0 for the lowest one) (meV/atom): 205.7
&SYSTEM
  ibrav = 0, nat = 8, ntyp = 2
/
ATOMIC_SPECIES
Zn 65.41 Zn.upf
Br 79.90 Br.upf
ATOMIC_POSITIONS crystal
Zn 0.000 0.000 0.000
Zn 0.000 0.500 0.235
Zn 0.000 0.500 0.765
Zn 0.500 0.000 0.235
Zn 0.500 0.000 0.765
Zn 0.500 0.500 0.000
Br 0.000 0.000 0.500
Br 0.500 0.500 0.500
CELL_PARAMETERS angstrom
3.532 0.000 0.000
0.000 6.144 0.000
0.000 0.000 7.995

***

# 2
! Zn3Br PBE optimized geometry; values from VASP
! Total magnetic moment (μB/f.u.): 0.0
! Formation energy from raw total energies (eV/atom): -0.159
! Raw total energy (eV for the cell shown): -12.3
! Polymorph energy (0 for the lowest one) (meV/atom): 0.0
&SYSTEM
  ibrav = 0, nat = 8, ntyp = 2
/
ATOMIC_SPECIES
Zn 65.41 Zn.upf
Br 79.90 Br.upf
ATOMIC_POSITIONS crystal
Zn 0.250 0.083 0.039
Zn 0.250 0.417 0.039
Zn 0.250 0.750 0.077
Zn 0.750 0.250 0.923
Zn 0.750 0.583 0.961
Zn 0.750 0.917 0.961
Br 0.250 0.250 0.441
Br 0.750 0.750 0.559
CELL_PARAMETERS angstrom
4.379 0.000 0.000
0.000 7.710 0.000
0.000 0.000 5.732

***

# 3
! Zn3Br PBE optimized geometry; values from VASP
! Total magnetic moment (μB/f.u.): 0.0
! Formation energy from raw total energies (eV/atom): 0.007
! Raw total energy (eV for the cell shown): -5.5
! Polymorph energy (0 for the lowest one) (meV/atom): 166.1
&SYSTEM
  ibrav = 0, nat = 4, ntyp = 2
/
ATOMIC_SPECIES
Zn 65.41 Zn.upf
Br 79.90 Br.upf
ATOMIC_POSITIONS crystal
Zn 0.000 0.000 0.000
Zn 0.492 0.500 0.789
Zn 0.508 0.500 0.211
Br 0.500 0.000 0.500
CELL_PARAMETERS angstrom
3.210 0.000 0.000
0.000 3.345 0.000
-0.015 0.000 7.405